Entry 1:
Here is crystalline CaHPd3 at its relaxed geometry from Alexandria via LeMat-Bulk. Energies are from PBE.

Output
Volume ... 15.748 A^3/atom
Calculated total energy ... -90.03 eV for the cell shown

Unit cell a=10.1900 b=7.8176 c=7.8176 alpha=80.75 beta=123.80 gamma=56.20
Positions (direct):
Ca 0.8957 0.5484 0.6456
Ca 0.6043 0.1456 0.0484
Ca 0.1043 0.4516 0.3544
Ca 0.3957 0.8544 0.9516
H 0.2500 0.9038 0.4038
H 0.2500 0.4674 0.9674
H 0.7500 0.5326 0.0326
H 0.7500 0.0962 0.5962
Pd 0.4575 0.7241 0.3808
Pd 0.0425 0.8808 0.2241
Pd 0.3967 0.1434 0.2433
Pd 0.9977 0.7330 0.9135
Pd 0.0023 0.2670 0.0865
Pd 0.5023 0.4135 0.2330
Pd 0.5425 0.2759 0.6192
Pd 0.9575 0.1192 0.7759
Pd 0.6033 0.8566 0.7567
Pd 0.8967 0.2567 0.3566
Pd 0.4977 0.5865 0.7670
Pd 0.1033 0.7433 0.6434

Entry 2:
Here is crystalline CaH6Pd7 at its relaxed geometry from Alexandria via LeMat-Bulk. Energies are from PBE.

Output
Volume ... 11.466 A^3/atom
Calculated total energy ... -61.51 eV for the cell shown

Unit cell a=5.0674 b=5.0674 c=7.7886 alpha=71.02 beta=71.02 gamma=60.00
Positions (direct):
Pd 0.6643 0.6643 0.0071
Pd 0.7773 0.4450 0.6701
Pd 0.2213 0.5500 0.3431
Pd 0.8855 0.2213 0.3431
Pd 0.4450 0.1077 0.6701
Pd 0.5500 0.8856 0.3431
Pd 0.1077 0.7773 0.6701
H 0.0818 0.4175 0.7665
H 0.5795 0.2565 0.2471
H 0.4175 0.7342 0.7665
H 0.2565 0.9170 0.2471
H 0.9170 0.5795 0.2471
H 0.7342 0.0818 0.7665
Ca 0.9980 0.9980 0.0059

Entry 3:
Here is crystalline CaH3Pd at its relaxed geometry from Alexandria via LeMat-Bulk. Energies are from PBE.

Output
Volume ... 11.359 A^3/atom
Calculated total energy ... -38.14 eV for the cell shown

Unit cell a=3.6728 b=3.6728 c=9.7229 alpha=90.00 beta=90.00 gamma=120.00
Positions (direct):
H 0.0000 0.0000 0.7500
H 0.3333 0.6667 0.9240
H 0.6667 0.3333 0.0760
H 0.3333 0.6667 0.5760
H 0.6667 0.3333 0.4240
H 0.0000 0.0000 0.2500
Ca 0.0000 0.0000 0.0000
Ca 0.0000 0.0000 0.5000
Pd 0.3333 0.6667 0.7500
Pd 0.6667 0.3333 0.2500